(1)
Entry from Alexandria via LeMat-Bulk: a geometry-optimized VGeB3 structure (PBE-GGA).

The structure belongs to space group Pm-3m (No. 221); the cell edges are 4.036, 4.036 and 4.036 Å and the angles 90.00°, 90.00° and 90.00°. The asymmetric unit holds V at (0.000, 0.000, 0.000), Ge at (0.500, 0.500, 0.500) and B at (0.000, 0.000, 0.500).

Its magnetic moment is 0.00 Bohr magnetons per cell.

=====

(2)
Entry from Alexandria via LeMat-Bulk: a geometry-optimized VGeB3 structure (PBE-GGA).

The structure belongs to space group Pm-3m (No. 221); the cell edges are 4.029, 4.029 and 4.029 Å and the angles 90.00°, 90.00° and 90.00°. The asymmetric unit holds V at (0.000, 0.000, 0.000), Ge at (0.500, 0.500, 0.500) and B at (0.000, 0.500, 0.500).

Its magnetic moment is 2.23 Bohr magnetons per cell.

=====

Last place for stability: (2)

=====

(1)
Entry from Alexandria via LeMat-Bulk: a geometry-optimized Y2GeB structure (PBE-GGA).

The structure belongs to space group Fm-3m (No. 225); the cell edges are 6.862, 6.862 and 6.862 Å and the angles 90.00°, 90.00° and 90.00°. The asymmetric unit holds Y at (0.250, 0.250, 0.250), Ge at (0.000, 0.000, 0.000) and B at (0.000, 0.000, 0.500).

Its magnetic moment is 0.00 Bohr magnetons per cell.

=====

(2)
Entry from Alexandria via LeMat-Bulk: a geometry-optimized Y2GeB structure (PBE-GGA).

The structure belongs to space group I-42d (No. 122); the cell edges are 7.263, 7.263 and 6.755 Å and the angles 90.00°, 90.00° and 90.00°. The asymmetric unit holds Y at (0.209, 0.750, 0.125), Ge at (0.000, 0.000, 0.500) and B at (0.000, 0.000, 0.000).

Its magnetic moment is 0.00 Bohr magnetons per cell.

=====

Last place for stability: (2)